# 1
NpTcI2O6: optimized geometry, PBE.

Calculated values
Its symmetry is P-1 (2). The formation energy (no corrections) is -1464 meV/atom.

Structure (POSCAR):
```
NpTcI2O6
1.0
-2.878 -2.793 4.033
-1.623 -4.158 -3.459
1.210 -10.355 1.065
O I Tc Np
6 2 1 1
Cartesian
-1.450 -4.119 -1.481 O
-2.983 -7.982 0.407 O
-0.103 -12.320 1.224 O
-1.841 -13.187 3.120 O
-0.308 -9.324 1.232 O
-3.188 -4.986 0.416 O
-1.549 -8.473 3.451 I
-1.742 -8.833 -1.812 I
-2.251 -3.476 0.287 Tc
1.210 -10.355 1.065 Np
```

---

# 2
LiAcCd2Pd2: optimized geometry, PBE.

Calculated values
Its symmetry is I4/mmm (139). As for the formation energy: -0.29 eV per atom.

Structure (POSCAR):
```
LiAcCd2Pd2
1.0
-0.854 4.124 3.382
-5.161 0.224 -1.577
1.713 -5.526 2.859
Pd Cd Ac Li
2 2 1 1
Cartesian
-0.590 -1.528 1.714 Pd
-3.712 0.349 2.950 Pd
-3.228 -1.564 1.092 Cd
-1.074 0.386 3.572 Cd
-3.008 2.174 0.902 Ac
0.000 0.000 0.000 Li
```

---

# 3
Dy6Y8Pu: optimized geometry, PBE.

Calculated values
Its symmetry is R-3 (148). As for the formation energy: 0.12 eV per atom.

Structure (POSCAR):
```
Dy6Y8Pu
1.0
7.734 0.102 3.712
2.378 7.360 3.712
0.138 0.102 8.578
Y Dy Pu
8 6 1
Cartesian
4.072 6.602 6.650 Y
5.911 4.362 9.229 Y
6.179 0.963 9.353 Y
7.587 2.199 6.479 Y
7.350 5.621 6.401 Y
4.339 3.202 6.774 Y
2.901 1.944 9.601 Y
2.663 5.366 9.524 Y
2.195 4.053 4.356 Dy
5.482 5.855 12.187 Dy
2.067 0.903 5.927 Dy
8.056 3.512 11.647 Dy
4.769 1.709 3.815 Dy
8.183 6.662 10.076 Dy
0.000 0.000 0.000 Pu
```

---

# 4
Li2CdAg4: optimized geometry, PBE.

Calculated values
Its symmetry is I4/mmm (139). As for the formation energy: 0.38 eV per atom. The value obtained for the energy above the lowest structure with this stoichiometry is 0.468 eV per atom.

Structure (POSCAR):
```
Li2CdAg4
1.0
5.138 0.000 0.000
0.000 5.138 0.000
2.569 2.569 6.888
Ag Cd Li
4 1 2
Cartesian
2.569 2.569 4.147 Ag
5.138 5.138 2.740 Ag
0.000 2.569 0.000 Ag
2.569 0.000 0.000 Ag
0.000 0.000 0.000 Cd
2.569 2.569 1.471 Li
5.138 5.138 5.417 Li
```

---

# 5
Pm3NdEr2Se6: optimized geometry, PBE.

Calculated values
Its symmetry is C2/m (12). The formation energy (no corrections) is -1792 meV/atom.

Structure (POSCAR):
```
Pm3NdEr2Se6
1.0
7.177 -0.015 -0.001
-3.600 6.209 -0.001
-1.194 -2.068 6.813
Er Se Pm Nd
2 6 3 1
Cartesian
0.002 4.129 -0.001 Er
3.575 2.066 -0.001 Er
-0.096 4.136 5.156 Se
0.041 0.070 5.201 Se
3.630 1.984 5.156 Se
2.480 -0.009 1.655 Se
2.343 4.056 1.611 Se
-1.247 2.143 1.655 Se
-2.487 4.188 3.406 Pm
1.192 2.063 3.406 Pm
4.870 -0.061 3.406 Pm
0.000 0.000 0.000 Nd
```

---

# 6
VCrAsCl2: optimized geometry, PBE.

Calculated values
Its symmetry is P4/mmm (123). The formation energy (no corrections) is 1227 meV/atom.

Structure (POSCAR):
```
VCrAsCl2
1.0
-5.540 -3.019 1.921
2.787 -4.656 0.719
1.237 1.706 6.250
V As Cr Cl
1 1 1 2
Cartesian
1.393 -2.328 0.360 V
0.000 0.000 0.000 As
-0.758 -2.985 4.445 Cr
0.619 0.853 3.125 Cl
-2.770 -1.509 0.960 Cl
```